w | 5
Lattice="4.188 0.000 0.000 0.000 4.188 0.000 0.000 0.000 3.985" Properties=species:S:1:pos:R:3 comment="WBrN2F, relaxed, DFT GGA+U" crystal_system=tetragonal spacegroup=P4/mmm vol_a3_per_atom=13.98 dos_ef_per_ev_fu=1.783 pbc="T T T"
Br 0.000 0.000 0.000
N 0.000 2.094 0.000
N 2.094 0.000 0.000
F 0.000 0.000 1.993
W 2.094 2.094 1.993

x | 5
Lattice="-0.066 -3.954 -1.049 3.983 0.177 -0.918 0.960 -1.066 3.957" Properties=species:S:1:pos:R:3 comment="WBrN2F, relaxed, DFT GGA+U" crystal_system=tetragonal spacegroup=P4/mmm vol_a3_per_atom=14.09 dos_ef_per_ev_fu=3.436 pbc="T T T"
F 0.480 -0.533 1.978
W 0.000 0.000 0.000
Br 2.438 -2.422 0.995
N -0.033 -1.977 -0.525
N 1.992 0.088 -0.459

So which one is most stable? That would be x, about 1571 meV per atom below the next structure.